Record 1
Below is crystalline Cs3UF6 at its relaxed geometry, with properties calculated at the PBE level.

POSCAR file:
```
Cs3UF6
1.0
-3.796 3.796 5.126
3.796 -3.796 5.126
3.796 3.796 -5.126
Cs U F
3 1 6
direct
0.000 0.000 0.000
0.250 0.750 0.500
0.750 0.250 0.500
0.500 0.500 0.000
0.204 0.500 0.704
0.276 0.276 0.000
0.500 0.204 0.704
0.500 0.796 0.296
0.724 0.724 0.000
0.796 0.500 0.296
```

Summary:
crystal system: tetragonal
N(E_F): 8.89 states/eV/cell
VASP energy: -54.76 eV per cell
size of the total moment: 0.259 μB per atom
formation energy from raw total energies: -2.968 eV per atom

Record 2
Below is crystalline CsU2F9 at its relaxed geometry, with properties calculated at the PBE level.

POSCAR file:
```
CsU2F9
1.0
7.903 0.000 0.000
-3.951 6.844 0.000
0.000 0.000 3.624
Cs U F
1 2 9
direct
0.000 0.000 0.000
0.333 0.667 0.000
0.667 0.333 0.000
0.000 0.500 0.000
0.222 0.444 0.500
0.222 0.778 0.500
0.444 0.222 0.500
0.500 0.000 0.000
0.500 0.500 0.000
0.556 0.778 0.500
0.778 0.222 0.500
0.778 0.556 0.500
```

Summary:
crystal system: hexagonal
N(E_F): 8.54 states/eV/cell
VASP energy: -81.42 eV per cell
size of the total moment: 0.333 μB per atom
formation energy from raw total energies: -3.429 eV per atom
energy relative to the lowest polymorph listed for this composition: 44 meV per atom